# 1
DFT (PBE) results for a relaxed Pu4I crystal.

extended XYZ file:
```
5
Lattice="5.830 0.000 0.000 0.000 5.830 0.000 0.000 0.000 5.830" Properties=species:S:1:pos:R:3 pbc="T T T"
Pu 0.000 0.000 0.000
Pu 0.000 2.915 2.915
Pu 2.915 0.000 2.915
Pu 2.915 2.915 0.000
I 2.915 2.915 2.915
```

SG ... Pm-3m

# 2
DFT (PBE) results for a relaxed PuI3 crystal.

extended XYZ file:
```
8
Lattice="8.680 0.000 0.000 0.000 8.688 0.000 -0.030 0.000 6.140" Properties=species:S:1:pos:R:3 pbc="T T T"
Pu 0.000 0.000 0.000
Pu 4.340 4.344 0.000
I -0.015 0.000 3.070
I 2.170 2.172 0.000
I 2.170 6.516 0.000
I 4.325 4.344 3.070
I 6.510 2.172 0.000
I 6.510 6.516 0.000
```

SG ... C2/m

# 3
DFT (PBE) results for a relaxed PuI2 crystal.

extended XYZ file:
```
12
Lattice="8.411 0.000 0.000 0.000 3.649 0.000 0.000 0.000 16.089" Properties=species:S:1:pos:R:3 pbc="T T T"
Pu 0.757 0.912 0.223
Pu 3.449 2.737 8.268
Pu 4.962 0.912 7.821
Pu 7.654 2.737 15.866
I 1.462 0.912 9.629
I 1.475 2.737 13.827
I 2.730 0.912 5.782
I 2.743 2.737 1.585
I 5.668 0.912 14.504
I 5.681 2.737 10.307
I 6.936 0.912 2.263
I 6.949 2.737 6.460
```

SG ... Pnma

Number 1: E_form (uncorrected) 0.737 eV per atom, total energy -11.0387 eV/atom. Number 2: E_form (uncorrected) -0.972 eV per atom, total energy -5.7171 eV/atom. Number 3: E_form (uncorrected) -0.574 eV per atom, total energy -6.3847 eV/atom.